A plane-wave DFT calculation with PBE was carried out for a relaxed structure of SrSn3Pb3.

a = 8.3725 Å, b = 8.3725 Å, c = 8.3725 Å
α = 90.00°, β = 90.00°, γ = 90.00°
Last column: nearest neighbours and their distance in Å.
Element x y z (fractional)
Sn 0.5000 0.0000 0.2500  4 Pb 2.96
Pb 0.7500 0.0000 0.5000  4 Sn 2.96
Sr 0.5000 0.5000 0.5000  12 Pb 4.68, 12 Sn 4.68
Sn 0.5000 0.0000 0.7500  4 Pb 2.96
Pb 0.0000 0.5000 0.2500  4 Sn 2.96
Sn 0.7500 0.5000 0.0000  4 Pb 2.96
Pb 0.5000 0.7500 0.0000  4 Sn 2.96
Pb 0.5000 0.2500 0.0000  4 Sn 2.96
Pb 0.0000 0.5000 0.7500  4 Sn 2.96
Sn 0.0000 0.7500 0.5000  4 Pb 2.96
Sr 0.0000 0.0000 0.0000  12 Sn 4.68, 12 Pb 4.68
Pb 0.2500 0.0000 0.5000  4 Sn 2.96
Sn 0.2500 0.5000 0.0000  4 Pb 2.96
Sn 0.0000 0.2500 0.5000  4 Pb 2.96

- symmetry = Pm-3n, No. 223



A plane-wave DFT calculation with PBE was carried out for a relaxed structure of Li2LaSm2Pb2.

a = 4.9173 Å, b = 4.9173 Å, c = 9.7414 Å
α = 75.38°, β = 75.38°, γ = 60.00°
Last column: nearest neighbours and their distance in Å.
Element x y z (fractional)
Sm 0.8692 0.8692 0.3923  3 Li 3.19, 3 Pb 3.28, 3 Sm 3.48
Pb 0.7385 0.7385 0.7846  3 Li 2.85
Pb 0.2615 0.2615 0.2154  3 Li 2.85
Li 0.5881 0.5881 0.2358  3 Pb 2.85
Li 0.4119 0.4119 0.7642  3 Pb 2.85
La 0.0000 0.0000 0.0000  6 Pb 3.48, 6 Li 3.59, 2 Sm 3.66
Sm 0.1308 0.1308 0.6077  3 Li 3.19, 3 Pb 3.28, 3 Sm 3.48

- symmetry = R-3m, No. 166



These records have E_form values of 0.18; -0.37 eV/atom, in the order they appear.
These records have DOS(E_F) values of 0.561; 0.660 states/eV/atom, in the order they appear.